Entry from Alexandria: a relaxed Tl2WF crystal (GGA+U).

a b c (Å): 7.745 7.745 6.457
angles (deg): 53.15 53.15 90.00
Fractional coordinates of all 8 atoms:
W 0.000 0.000 0.000
F 0.500 0.500 0.000
Tl 0.181 0.625 0.250
Tl 0.569 0.125 0.250
W 0.750 0.250 0.500
F 0.250 0.750 0.500
Tl 0.375 0.431 0.750
Tl 0.875 0.819 0.750

uncorrected energy: -13.132 eV per formula unit
crystal system: tetragonal
size of the total moment: 9.8 Bohr magnetons per cell
offset from the most stable computed form: 0.00 eV/f.u.
V: 205.2 Å³ per cell